Entry 1:
## SrAuSe4 (PBE-GGA)

Data for an optimized crystal structure of SrAuSe4.

a b c (Å): 5.8515 5.8515 5.8515
angles (deg): 60.00 60.00 60.00
Fractional positions:
Sr1 0.7500 0.7500 0.7500
Au1 0.0000 0.0000 0.0000
Se1 0.8800 0.3733 0.3733
Se2 0.3733 0.3733 0.8800
Se3 0.3733 0.8800 0.3733
Se4 0.3733 0.3733 0.3733

Calculated values
Space-group type   F-43m, No. 216
Total energy   -3.300 eV/atom
Magnetization   0.000 μB per formula unit

---

Entry 2:
## SrAu3Se (PBE-GGA)

Data for an optimized crystal structure of SrAu3Se.

a b c (Å): 5.8141 5.8141 5.8141
angles (deg): 90.00 90.00 90.00
Fractional positions:
Sr1 0.0000 0.0000 0.0000
Au1 0.0000 0.5000 0.0000
Au2 0.0000 0.0000 0.5000
Au3 0.5000 0.0000 0.0000
Se1 0.5000 0.5000 0.5000

Calculated values
Space-group type   Pm-3m, No. 221
Total energy   -2.120 eV/atom
Magnetization   2.945 μB per formula unit
Energy above the lowest structure with this stoichiometry   1038.4 meV per atom

---

Entry 3:
## SrAu2Se (PBE-GGA)

Data for an optimized crystal structure of SrAu2Se.

a b c (Å): 4.2959 4.1736 6.0678
angles (deg): 90.07 90.00 90.00
Fractional positions:
Au1 0.0000 0.2505 0.9756
Au2 0.5000 0.2495 0.2515
Se1 0.0000 0.2498 0.5443
Sr1 0.5000 0.7502 0.7286

Calculated values
Space-group type   Pm, No. 6
Total energy   -3.621 eV/atom
Magnetization   0.000 μB per formula unit

---

Entry 4:
## SrAu2Se (PBE-GGA)

Data for an optimized crystal structure of SrAu2Se.

a b c (Å): 6.1643 6.1643 4.2495
angles (deg): 94.33 94.33 39.05
Fractional positions:
Au1 0.9749 0.9749 0.0114
Au2 0.5251 0.5251 0.4886
Se1 0.7500 0.7500 0.7500
Sr1 0.2500 0.2500 0.2500

Calculated values
Space-group type   C2/m, No. 12
Total energy   -3.612 eV/atom
Magnetization   0.000 μB per formula unit

---

Entry 5:
## SrAu2Se (PBE-GGA)

Data for an optimized crystal structure of SrAu2Se.

a b c (Å): 5.2825 5.2825 5.2825
angles (deg): 128.71 115.00 87.25
Fractional positions:
Au1 0.9660 0.9660 0.0000
Au2 0.7241 0.2241 0.5000
Se1 0.5550 0.5550 0.0000
Sr1 0.2549 0.7549 0.5000

Calculated values
Space-group type   Imm2, No. 44
Total energy   -3.553 eV/atom
Magnetization   0.000 μB per formula unit

---

Entry 6:
## SrAu2Se (PBE-GGA)

Data for an optimized crystal structure of SrAu2Se.

a b c (Å): 4.1656 6.5008 4.1654
angles (deg): 71.26 90.15 108.74
Fractional positions:
Au1 0.0000 0.0000 0.0000
Au2 0.5000 0.0000 0.5000
Se1 0.0000 0.5000 0.5000
Sr1 0.5000 0.5000 0.0000

Calculated values
Space-group type   Fmmm, No. 69
Total energy   -3.523 eV/atom
Magnetization   0.000 μB per formula unit

---

Entry 7:
## SrAu2Se (PBE-GGA)

Data for an optimized crystal structure of SrAu2Se.

a b c (Å): 5.7349 5.7349 5.7349
angles (deg): 49.62 49.62 49.62
Fractional positions:
Au1 0.9661 0.9661 0.9661
Au2 0.5339 0.5339 0.5339
Se1 0.2500 0.2500 0.2500
Sr1 0.7500 0.7500 0.7500

Calculated values
Space-group type   R-3m, No. 166
Total energy   -3.407 eV/atom
Magnetization   0.000 μB per formula unit

---

Entry 8:
## SrAu2Se (PBE-GGA)

Data for an optimized crystal structure of SrAu2Se.

a b c (Å): 4.1645 4.1645 11.8442
angles (deg): 79.87 79.87 90.00
Fractional positions:
Sr1 0.0000 0.0000 0.0000
Sr2 0.7500 0.2500 0.5000
Au1 0.6200 0.1250 0.2500
Au2 0.1300 0.6250 0.2500
Au3 0.3750 0.3800 0.7500
Au4 0.8750 0.8700 0.7500
Se1 0.5000 0.5000 0.0000
Se2 0.2500 0.7500 0.5000

Calculated values
Space-group type   I-42d, No. 122
Total energy   -3.567 eV/atom
Magnetization   0.000 μB per formula unit